Record 1
## CuNiSb2 (meta-GGA SCAN)

Data for a PBEsol-optimized structure of CuNiSb2.

Summary:
raw total energy: -26.65 eV per atom
symmetry: No. 164
formation energy from raw total energies: -0.173 eV per atom

Lattice parameters (Å, degrees): 4.0393 4.0393 5.0487 90.00 90.00 120.00
Closest atoms and distances in Å follow each position.
Positions (direct):
Sb  0.6667  0.3333  0.7285  3 Ni 2.60, 3 Cu 2.70
Sb  0.3333  0.6667  0.2715  3 Ni 2.60, 3 Cu 2.70
Cu  0.0000  0.0000  0.0000  2 Ni 2.52, 6 Sb 2.70
Ni  0.0000  0.0000  0.5000  2 Cu 2.52, 6 Sb 2.60



Record 2
## U6Cu3Ni3Sb8 (meta-GGA SCAN)

Data for a PBEsol-optimized structure of U6Cu3Ni3Sb8.

Summary:
raw total energy: -50.90 eV per atom
symmetry: No. 5
formation energy from raw total energies: -0.229 eV per atom

Lattice parameters (Å, degrees): 8.0793 8.0793 8.0835 109.81 109.16 109.42
Closest atoms and distances in Å follow each position.
Positions (direct):
U  0.8740  0.9965  0.3662  1 Ni 2.79, 3 Cu 2.87-2.89
U  0.6303  0.5078  0.6338  1 Ni 2.79, 3 Cu 2.87-2.89
U  0.3698  0.3698  0.0000  2 Ni 2.83, 2 Cu 2.89, 2 Sb 3.17
U  0.1309  0.6309  0.5000  2 Ni 2.82, 2 Cu 2.88
U  0.2433  0.8712  0.1177  3 Ni 2.83-2.86, 1 Cu 2.92
U  0.7534  0.1256  0.8823  3 Ni 2.83-2.86, 1 Cu 2.92
Cu  0.6248  0.1248  0.5000  4 Sb 2.61, 4 U 2.89-2.92
Cu  0.2492  0.3752  0.6246  4 Sb 2.61-2.62, 4 U 2.87-2.89
Cu  0.7506  0.6246  0.3754  4 Sb 2.61-2.62, 4 U 2.87-2.89
Ni  0.3743  0.9992  0.8742  4 Sb 2.60, 4 U 2.82-2.86
Ni  0.1251  0.5001  0.1258  4 Sb 2.60, 4 U 2.82-2.86
Ni  0.8747  0.8747  0.0000  4 Sb 2.61, 4 U 2.79-2.83
Sb  0.3340  0.0830  0.5850  1 Ni 2.60, 2 Cu 2.61-2.62
Sb  0.0023  0.9200  0.7515  2 Ni 2.60-2.61, 1 Cu 2.62
Sb  0.1684  0.2507  0.2485  2 Ni 2.60-2.61, 1 Cu 2.62
Sb  0.4980  0.7489  0.4150  1 Ni 2.60, 2 Cu 2.61-2.62
Sb  0.9994  0.4168  0.7523  1 Ni 2.60, 2 Cu 2.61
Sb  0.8327  0.5810  0.0807  2 Ni 2.60-2.61, 1 Cu 2.62
Sb  0.6645  0.2471  0.2477  1 Ni 2.60, 2 Cu 2.61
Sb  0.5003  0.7520  0.9193  2 Ni 2.60-2.61, 1 Cu 2.62



Record 3
## Sc2CuNi (meta-GGA SCAN)

Data for a PBEsol-optimized structure of Sc2CuNi.

Summary:
energy of formation from the pure elements: -435 meV/atom
raw total energy: -15.40 eV per atom
symmetry: No. 225

Lattice parameters (Å, degrees): 4.4722 4.4722 4.4722 60.00 60.00 60.00
Closest atoms and distances in Å follow each position.
Positions (direct):
Sc  0.7500  0.7500  0.7500  4 Ni 2.74, 4 Cu 2.74
Sc  0.2500  0.2500  0.2500  4 Cu 2.74, 4 Ni 2.74
Ni  0.0000  0.0000  0.0000  8 Sc 2.74
Cu  0.5000  0.5000  0.5000  8 Sc 2.74



Which formula does entry 2 have?
U6Cu3Ni3Sb8



Which formula does entry 1 have?
CuNiSb2